1.
! YCuO3 (PBEsol, optimized geometry); values from VASP
! Calculated density in g/cm³: 5.543
! Final energy in eV per atom: -7.44
! Formation energy (no corrections) in eV/f.u.: -10.28
! Total moment in μB/f.u.: 0.0
&SYSTEM
  ibrav = 0, nat = 30, ntyp = 3
/
ATOMIC_SPECIES
O 16.00 O.upf
Cu 63.55 Cu.upf
Y 88.91 Y.upf
ATOMIC_POSITIONS angstrom
O -2.881 3.696 3.071
O -2.209 0.756 7.237
O -4.240 0.639 9.146
O -0.066 0.942 5.587
O -0.687 -1.744 2.101
O -3.442 1.952 5.032
Cu -4.136 0.966 10.922
O -2.758 -0.556 11.039
Y -3.414 1.549 2.645
Cu -1.320 -2.940 6.038
Cu -2.816 3.903 4.867
Y -2.730 -0.958 8.652
O -3.909 -0.536 1.859
O -2.755 4.114 6.664
Cu -0.756 -0.101 11.142
Cu -1.504 3.322 10.556
Cu -2.068 0.481 5.453
O -2.694 -1.470 5.618
Y -2.666 -1.872 3.231
O -1.397 2.928 8.794
O -1.922 0.208 3.671
O -0.696 -0.280 9.343
Y -3.478 2.463 8.066
O -0.002 0.028 0.166
O -1.303 -2.525 7.801
O -1.338 -3.360 4.280
Y -0.093 1.326 7.865
O -1.479 1.883 1.480
O -3.506 2.866 10.453
Y -0.029 0.412 2.444
CELL_PARAMETERS angstrom
-4.128 4.488 -0.806
-1.884 -5.777 0.952
-0.128 1.828 10.841

=====

2.
! Y2Cu2O5 (PBEsol, optimized geometry); values from VASP
! Calculated density in g/cm³: 5.518
! Final energy in eV per atom: -7.61
! Formation energy (no corrections) in eV/f.u.: -19.98
! Total moment in μB/f.u.: 2.0
! Offset from the most stable computed form in meV/atom: 11
&SYSTEM
  ibrav = 0, nat = 36, ntyp = 3
/
ATOMIC_SPECIES
Y 88.91 Y.upf
Cu 63.55 Cu.upf
O 16.00 O.upf
ATOMIC_POSITIONS angstrom
Y 0.987 3.142 0.003
Y 2.724 0.458 10.240
Cu 0.554 5.257 7.562
Y 2.504 5.835 10.240
Cu 2.297 0.120 1.380
Y 0.756 8.519 0.003
O 0.972 9.971 9.422
O 1.202 9.411 2.029
O 2.704 4.553 12.027
O 0.774 7.247 10.566
O 2.516 8.882 4.384
Y 0.982 4.918 4.058
Cu 1.205 2.816 8.853
O 2.711 3.505 4.384
O 0.746 8.856 6.987
O 0.540 4.034 2.029
O 0.770 4.595 9.422
Cu 2.948 2.560 2.672
O 2.513 0.782 3.240
O 2.283 1.342 8.211
Cu 2.280 7.937 2.672
Y 0.761 10.295 4.058
O 0.962 0.823 5.846
Cu 1.188 10.633 7.562
O 2.945 6.719 8.211
O 0.996 3.480 6.987
O 0.781 6.199 5.846
O 0.969 1.871 10.566
Y 2.730 2.234 6.185
O 2.739 1.897 0.806
Cu 0.537 8.193 8.853
Cu 2.931 5.496 1.380
O 2.715 6.158 3.240
O 2.489 7.273 0.806
O 2.523 9.930 12.027
Y 2.498 7.611 6.185
CELL_PARAMETERS angstrom
3.485 0.000 0.000
0.000 10.753 0.000
0.000 0.000 12.363

=====

3.
! YCuO2 (PBEsol, optimized geometry); values from VASP
! Calculated density in g/cm³: 5.107
! Final energy in eV per atom: -7.81
! Formation energy (no corrections) in eV/f.u.: -9.57
! Total moment in μB/f.u.: 0.0
&SYSTEM
  ibrav = 0, nat = 4, ntyp = 3
/
ATOMIC_SPECIES
O 16.00 O.upf
Cu 63.55 Cu.upf
Y 88.91 Y.upf
ATOMIC_POSITIONS angstrom
O 1.752 1.012 3.835
Cu 0.000 0.000 0.000
Y 3.505 2.023 2.819
O 5.257 3.035 1.803
CELL_PARAMETERS angstrom
3.505 0.000 0.000
1.752 3.035 0.000
1.752 1.012 5.638